i | DFT (PBE-GGA) results for HS2F after structural relaxation.

Lattice parameters (Å, degrees): 3.163 9.132 8.650 29.61 79.50 69.80
Element x y z (fractional)
H 0.335 0.603 0.626
H 0.665 0.397 0.374
S 0.993 0.837 0.838
S 0.007 0.163 0.162
S 0.530 0.275 0.892
S 0.470 0.725 0.108
F 0.000 0.500 0.500
F 0.500 0.000 0.500

Calculated values
* M_tot: 0.00 μB/f.u.

***

ii | DFT (PBE-GGA) results for HS2F after structural relaxation.

Lattice parameters (Å, degrees): 6.958 6.958 6.958 22.58 22.58 22.58
Element x y z (fractional)
H 0.500 0.500 0.500
S 0.900 0.900 0.900
S 0.100 0.100 0.100
F 0.000 0.000 0.000

Calculated values
* M_tot: 0.00 μB/f.u.
* DOS at the Fermi energy: 1.591 states/eV/f.u.

***

Energy above the most stable structure, in kJ/mol of atoms: i 0.0; ii 90.5

***

i | DFT (PBE-GGA) results for HS3F after structural relaxation.

Lattice parameters (Å, degrees): 6.515 6.433 6.297 90.03 113.46 89.93
Element x y z (fractional)
H 0.719 0.777 0.140
H 0.221 0.575 0.642
S 0.864 0.429 0.041
S 0.585 0.930 0.165
S 0.087 0.422 0.666
S 0.365 0.924 0.542
S 0.107 0.545 0.982
S 0.608 0.808 0.482
F 0.343 0.420 0.166
F 0.844 0.935 0.664

Calculated values
* M_tot: 0.00 μB/f.u.
* DOS at the Fermi energy: 0.000 states/eV/f.u.

***

ii | DFT (PBE-GGA) results for HS3F after structural relaxation.

Lattice parameters (Å, degrees): 3.884 3.884 3.884 90.00 90.00 90.00
Element x y z (fractional)
H 0.000 0.000 0.000
S 0.000 0.500 0.000
S 0.000 0.000 0.500
S 0.500 0.000 0.000
F 0.500 0.500 0.500

Calculated values
* M_tot: 0.00 μB/f.u.
* DOS at the Fermi energy: 3.130 states/eV/f.u.

***

Energy above the most stable structure, in kJ/mol of atoms: i 0.0; ii 107.0

***

i | DFT (PBE-GGA) results for H2SF after structural relaxation.

Lattice parameters (Å, degrees): 3.932 3.932 5.669 69.71 69.71 90.00
Element x y z (fractional)
H 0.824 0.125 0.250
H 0.926 0.625 0.250
H 0.375 0.176 0.750
H 0.875 0.074 0.750
S 0.000 0.000 0.000
S 0.750 0.250 0.500
F 0.500 0.500 0.000
F 0.250 0.750 0.500

Calculated values
* M_tot: 0.00 μB/f.u.
* DOS at the Fermi energy: 2.275 states/eV/f.u.

***

ii | DFT (PBE-GGA) results for H2SF after structural relaxation.

Lattice parameters (Å, degrees): 3.573 3.573 3.573 60.00 60.00 60.00
Element x y z (fractional)
H 0.250 0.250 0.250
H 0.750 0.750 0.750
S 0.500 0.500 0.500
F 0.000 0.000 0.000

Calculated values
* M_tot: 0.00 μB/f.u.
* DOS at the Fermi energy: 2.601 states/eV/f.u.

***

Energy above the most stable structure, in kJ/mol of atoms: i 0.0; ii 86.4

***

i | DFT (PBE-GGA) results for SbHF after structural relaxation.

Lattice parameters (Å, degrees): 3.529 3.529 4.998 110.68 110.68 90.00
Element x y z (fractional)
Sb 0.700 0.700 0.400
F 0.250 0.250 0.499
H 0.900 0.900 0.800

Calculated values
* M_tot: 0.00 μB/f.u.
* DOS at the Fermi energy: 0.508 states/eV/f.u.

***

ii | DFT (PBE-GGA) results for SbHF after structural relaxation.

Lattice parameters (Å, degrees): 3.256 4.388 7.800 96.37 90.21 90.41
Element x y z (fractional)
Sb 0.256 0.319 0.298
Sb 0.744 0.681 0.702
H 0.746 0.724 0.926
H 0.254 0.276 0.074
F 0.258 0.809 0.269
F 0.742 0.191 0.731

Calculated values
* M_tot: 0.00 μB/f.u.
* DOS at the Fermi energy: 0.248 states/eV/f.u.

***

Energy above the most stable structure, in kJ/mol of atoms: i 25.1; ii 0.0